[1]
VASP calculation (PBE-GGA) on an optimized crystal structure of HgSe2Br.

Calculated values
Formation energy (no corrections) in eV per atom: 0.54
V in Å³ per cell: 92.1
Space-group type: Fm-3m (225)
Density in g/cm3: 7.90
Calculated total energy in eV/cell: -6.778

Cell lengths 5.070, 5.070, 5.070 Å; angles 60.00, 60.00, 60.00 degrees
Positions (direct):
Hg1 0.000 0.000 0.000
Se1 0.250 0.250 0.250
Se2 0.750 0.750 0.750
Br1 0.500 0.500 0.500



[2]
VASP calculation (PBE-GGA) on an optimized crystal structure of Hg12Se3Br5.

Calculated values
Formation energy (no corrections) in eV per atom: -0.02
V in Å³ per cell: 2721.3
Space-group type: Ia-3d (230)
Density in g/cm3: 7.43
Calculated total energy in eV/cell: -91.037

Cell lengths 15.234, 15.234, 15.234 Å; angles 109.47, 109.47, 109.47 degrees
Positions (direct):
Hg1 0.056 0.628 0.385
Hg2 0.056 0.928 0.671
Hg3 0.072 0.243 0.128
Hg4 0.072 0.329 0.944
Hg5 0.115 0.743 0.671
Hg6 0.115 0.872 0.444
Hg7 0.128 0.072 0.243
Hg8 0.128 0.556 0.885
Hg9 0.171 0.243 0.615
Hg10 0.171 0.428 0.556
Hg11 0.243 0.128 0.072
Hg12 0.243 0.615 0.171
Hg13 0.257 0.329 0.885
Hg14 0.257 0.428 0.372
Hg15 0.329 0.885 0.257
Hg16 0.329 0.944 0.072
Hg17 0.372 0.257 0.428
Hg18 0.372 0.615 0.944
Hg19 0.385 0.056 0.628
Hg20 0.385 0.829 0.757
Hg21 0.428 0.372 0.257
Hg22 0.428 0.556 0.171
Hg23 0.444 0.115 0.872
Hg24 0.444 0.829 0.572
Hg25 0.556 0.171 0.428
Hg26 0.556 0.885 0.128
Hg27 0.572 0.444 0.829
Hg28 0.572 0.628 0.743
Hg29 0.615 0.171 0.243
Hg30 0.615 0.944 0.372
Hg31 0.628 0.385 0.056
Hg32 0.628 0.743 0.572
Hg33 0.671 0.056 0.928
Hg34 0.671 0.115 0.743
Hg35 0.743 0.572 0.628
Hg36 0.743 0.671 0.115
Hg37 0.757 0.385 0.829
Hg38 0.757 0.872 0.928
Hg39 0.829 0.572 0.444
Hg40 0.829 0.757 0.385
Hg41 0.872 0.444 0.115
Hg42 0.872 0.928 0.757
Hg43 0.885 0.128 0.556
Hg44 0.885 0.257 0.329
Hg45 0.928 0.671 0.056
Hg46 0.928 0.757 0.872
Hg47 0.944 0.072 0.329
Hg48 0.944 0.372 0.615
Se1 0.125 0.250 0.375
Se2 0.125 0.375 0.750
Se3 0.250 0.375 0.125
Se4 0.250 0.875 0.625
Se5 0.375 0.125 0.250
Se6 0.375 0.750 0.125
Se7 0.625 0.250 0.875
Se8 0.625 0.875 0.750
Se9 0.750 0.125 0.375
Se10 0.750 0.625 0.875
Se11 0.875 0.625 0.250
Se12 0.875 0.750 0.625
Br1 0.000 0.000 0.000
Br2 0.000 0.000 0.500
Br3 0.000 0.500 0.000
Br4 0.000 0.500 0.500
Br5 0.125 0.750 0.875
Br6 0.125 0.875 0.250
Br7 0.250 0.125 0.875
Br8 0.250 0.625 0.375
Br9 0.375 0.250 0.625
Br10 0.375 0.625 0.750
Br11 0.500 0.000 0.000
Br12 0.500 0.000 0.500
Br13 0.500 0.500 0.000
Br14 0.500 0.500 0.500
Br15 0.625 0.375 0.250
Br16 0.625 0.750 0.375
Br17 0.750 0.375 0.625
Br18 0.750 0.875 0.125
Br19 0.875 0.125 0.750
Br20 0.875 0.250 0.125



[3]
VASP calculation (PBE-GGA) on an optimized crystal structure of HgSe2Br.

Calculated values
Formation energy (no corrections) in eV per atom: 0.22
V in Å³ per cell: 119.0
Space-group type: P4/mmm (123)
Density in g/cm3: 6.12
Calculated total energy in eV/cell: -8.062

Cell lengths 2.785, 2.785, 15.341 Å; angles 90.00, 90.00, 90.00 degrees
Positions (direct):
Hg1 0.000 0.000 0.000
Se1 0.500 0.500 0.220
Se2 0.500 0.500 0.780
Br1 0.000 0.000 0.500



[4]
VASP calculation (PBE-GGA) on an optimized crystal structure of HgSe2Br.

Calculated values
Formation energy (no corrections) in eV per atom: 0.46
V in Å³ per cell: 108.3
Space-group type: R-3m (166)
Density in g/cm3: 6.72
Calculated total energy in eV/cell: -7.103

Cell lengths 11.752, 11.752, 11.752 Å; angles 16.06, 16.06, 16.06 degrees
Positions (direct):
Hg1 0.000 0.000 0.000
Se1 0.271 0.271 0.271
Se2 0.729 0.729 0.729
Br1 0.500 0.500 0.500



[5]
VASP calculation (PBE-GGA) on an optimized crystal structure of HgSe2Br.

Calculated values
Formation energy (no corrections) in eV per atom: -0.04
V in Å³ per cell: 126.8
Space-group type: P4mm (99)
Density in g/cm3: 5.74
Calculated total energy in eV/cell: -9.119

Cell lengths 3.853, 3.853, 8.544 Å; angles 90.00, 90.00, 90.00 degrees
Positions (direct):
Hg1 0.000 0.000 0.000
Se1 0.000 0.000 0.311
Se2 0.500 0.500 0.342
Br1 0.500 0.500 0.866



[6]
VASP calculation (PBE-GGA) on an optimized crystal structure of HgSe2Br.

Calculated values
Formation energy (no corrections) in eV per atom: 0.06
V in Å³ per cell: 115.4
Space-group type: R3m (160)
Density in g/cm3: 6.31
Calculated total energy in eV/cell: -8.685

Cell lengths 7.721, 7.721, 7.721 Å; angles 32.09, 32.09, 32.09 degrees
Positions (direct):
Hg1 0.000 0.000 0.000
Se1 0.460 0.460 0.460
Se2 0.752 0.752 0.752
Br1 0.261 0.261 0.261



[7]
VASP calculation (PBE-GGA) on an optimized crystal structure of HgSe2Br.

Calculated values
Formation energy (no corrections) in eV per atom: 0.21
V in Å³ per cell: 127.6
Space-group type: I-4m2 (119)
Density in g/cm3: 5.70
Calculated total energy in eV/cell: -8.096

Cell lengths 8.922, 8.922, 8.922 Å; angles 154.90, 154.90, 35.79 degrees
Positions (direct):
Hg1 0.000 0.000 0.000
Se1 0.250 0.750 0.500
Se2 0.500 0.500 0.000
Br1 0.750 0.250 0.500



[8]
VASP calculation (PBE-GGA) on an optimized crystal structure of HgSe2Br.

Calculated values
Formation energy (no corrections) in eV per atom: 0.09
V in Å³ per cell: 115.7
Space-group type: P2/m (10)
Density in g/cm3: 6.29
Calculated total energy in eV/cell: -8.568

Cell lengths 3.925, 3.927, 7.542 Å; angles 90.00, 95.63, 90.00 degrees
Positions (direct):
Hg1 0.000 0.000 0.000
Se1 0.000 0.500 0.500
Se2 0.500 0.000 0.500
Br1 0.500 0.500 0.000



[9]
VASP calculation (PBE-GGA) on an optimized crystal structure of HgSe2Br.

Calculated values
Formation energy (no corrections) in eV per atom: 0.08
V in Å³ per cell: 123.7
Space-group type: R-3m (166)
Density in g/cm3: 5.89
Calculated total energy in eV/cell: -8.632

Cell lengths 8.374, 8.374, 8.374 Å; angles 29.20, 29.20, 29.20 degrees
Positions (direct):
Hg1 0.000 0.000 0.000
Se1 0.392 0.392 0.392
Se2 0.608 0.608 0.608
Br1 0.500 0.500 0.500



[10]
VASP calculation (PBE-GGA) on an optimized crystal structure of Hg2SeBr8.

Calculated values
Formation energy (no corrections) in eV per atom: -0.25
V in Å³ per cell: 458.0
Space-group type: P-1 (2)
Density in g/cm3: 4.06
Calculated total energy in eV/cell: -20.179

Cell lengths 7.254, 8.031, 8.755 Å; angles 99.85, 90.28, 113.89 degrees
Positions (direct):
Hg1 0.032 0.359 0.310
Hg2 0.968 0.641 0.690
Se1 0.000 0.000 0.000
Br1 0.024 0.003 0.300
Br2 0.220 0.806 0.952
Br3 0.281 0.665 0.473
Br4 0.322 0.310 0.046
Br5 0.678 0.690 0.954
Br6 0.719 0.335 0.527
Br7 0.780 0.194 0.048
Br8 0.976 0.997 0.700



[11]
VASP calculation (PBE-GGA) on an optimized crystal structure of HgSe2Br.

Calculated values
Formation energy (no corrections) in eV per atom: 0.23
V in Å³ per cell: 120.9
Space-group type: Pmm2 (25)
Density in g/cm3: 6.02
Calculated total energy in eV/cell: -8.017

Cell lengths 2.798, 4.662, 9.265 Å; angles 90.00, 90.00, 90.00 degrees
Positions (direct):
Hg1 0.000 0.000 0.000
Se1 0.000 0.000 0.389
Se2 0.500 0.500 0.316
Br1 0.500 0.500 0.766



[12]
VASP calculation (PBE-GGA) on an optimized crystal structure of HgSe2Br.

Calculated values
Formation energy (no corrections) in eV per atom: 0.22
V in Å³ per cell: 120.5
Space-group type: Cmmm (65)
Density in g/cm3: 6.04
Calculated total energy in eV/cell: -8.082

Cell lengths 4.358, 4.358, 7.790 Å; angles 90.00, 90.00, 125.43 degrees
Positions (direct):
Hg1 0.000 0.000 0.000
Se1 0.500 0.500 0.215
Se2 0.500 0.500 0.785
Br1 0.000 0.000 0.500



[13]
VASP calculation (PBE-GGA) on an optimized crystal structure of HgSe2Br.

Calculated values
Formation energy (no corrections) in eV per atom: 0.04
V in Å³ per cell: 118.3
Space-group type: Pm (6)
Density in g/cm3: 6.15
Calculated total energy in eV/cell: -8.779

Cell lengths 4.439, 4.849, 5.497 Å; angles 90.00, 90.76, 90.00 degrees
Positions (direct):
Hg1 0.000 0.000 0.000
Se1 0.634 0.500 0.497
Se2 0.850 0.000 0.498
Br1 0.520 0.500 0.996



[14]
VASP calculation (PBE-GGA) on an optimized crystal structure of HgSe6Br12.

Calculated values
Formation energy (no corrections) in eV per atom: 0.01
V in Å³ per cell: 830.7
Space-group type: R-3 (148)
Density in g/cm3: 3.26
Calculated total energy in eV/cell: -41.111

Cell lengths 13.815, 13.815, 13.815 Å; angles 36.39, 36.39, 36.39 degrees
Positions (direct):
Hg1 0.000 0.000 0.000
Se1 0.215 0.775 0.486
Se2 0.225 0.514 0.785
Se3 0.486 0.215 0.775
Se4 0.514 0.785 0.225
Se5 0.775 0.486 0.215
Se6 0.785 0.225 0.514
Br1 0.063 0.804 0.420
Br2 0.111 0.634 0.144
Br3 0.144 0.111 0.634
Br4 0.196 0.580 0.937
Br5 0.366 0.856 0.889
Br6 0.420 0.063 0.804
Br7 0.580 0.937 0.196
Br8 0.634 0.144 0.111
Br9 0.804 0.420 0.063
Br10 0.856 0.889 0.366
Br11 0.889 0.366 0.856
Br12 0.937 0.196 0.580



[15]
VASP calculation (PBE-GGA) on an optimized crystal structure of HgSe2Br.

Calculated values
Formation energy (no corrections) in eV per atom: -0.08
V in Å³ per cell: 115.6
Space-group type: P2/m (10)
Density in g/cm3: 6.30
Calculated total energy in eV/cell: -9.272

Cell lengths 5.019, 4.107, 5.851 Å; angles 90.00, 106.55, 90.00 degrees
Positions (direct):
Hg1 0.000 0.000 0.000
Se1 0.393 0.500 0.149
Se2 0.607 0.500 0.851
Br1 0.000 0.000 0.500



[16]
VASP calculation (PBE-GGA) on an optimized crystal structure of Hg3Se2Br2.

Calculated values
Formation energy (no corrections) in eV per atom: -0.29
V in Å³ per cell: 243.0
Space-group type: P-1 (2)
Density in g/cm3: 6.28
Calculated total energy in eV/cell: -13.271

Cell lengths 4.892, 7.022, 7.211 Å; angles 79.10, 88.62, 87.53 degrees
Positions (direct):
Hg1 0.000 0.000 0.000
Hg2 0.153 0.512 0.756
Hg3 0.847 0.488 0.244
Se1 0.277 0.273 0.061
Se2 0.723 0.727 0.939
Br1 0.233 0.734 0.433
Br2 0.767 0.266 0.567



[17]
VASP calculation (PBE-GGA) on an optimized crystal structure of Hg4SeBr.

Calculated values
Formation energy (no corrections) in eV per atom: 0.24
V in Å³ per cell: 155.5
Space-group type: F-43m (216)
Density in g/cm3: 10.27
Calculated total energy in eV/cell: -4.928

Cell lengths 6.036, 6.036, 6.036 Å; angles 60.00, 60.00, 60.00 degrees
Positions (direct):
Hg1 0.125 0.125 0.125
Hg2 0.125 0.125 0.625
Hg3 0.125 0.625 0.125
Hg4 0.625 0.125 0.125
Se1 0.750 0.750 0.750
Br1 0.500 0.500 0.500



[18]
VASP calculation (PBE-GGA) on an optimized crystal structure of HgSe2Br.

Calculated values
Formation energy (no corrections) in eV per atom: 0.17
V in Å³ per cell: 116.8
Space-group type: Cmmm (65)
Density in g/cm3: 6.23
Calculated total energy in eV/cell: -8.262

Cell lengths 8.046, 8.046, 2.704 Å; angles 90.00, 90.00, 138.17 degrees
Positions (direct):
Hg1 0.000 0.000 0.000
Se1 0.000 0.500 0.500
Se2 0.500 0.000 0.500
Br1 0.500 0.500 0.000



[19]
VASP calculation (PBE-GGA) on an optimized crystal structure of HgSe2Br.

Calculated values
Formation energy (no corrections) in eV per atom: 0.47
V in Å³ per cell: 93.8
Space-group type: F-43m (216)
Density in g/cm3: 7.76
Calculated total energy in eV/cell: -7.082

Cell lengths 5.100, 5.100, 5.100 Å; angles 60.00, 60.00, 60.00 degrees
Positions (direct):
Hg1 0.000 0.000 0.000
Se1 0.250 0.250 0.250
Se2 0.500 0.500 0.500
Br1 0.750 0.750 0.750



[20]
VASP calculation (PBE-GGA) on an optimized crystal structure of HgSe2Br.

Calculated values
Formation energy (no corrections) in eV per atom: 0.09
V in Å³ per cell: 115.1
Space-group type: P4/mmm (123)
Density in g/cm3: 6.33
Calculated total energy in eV/cell: -8.567

Cell lengths 3.926, 3.926, 7.468 Å; angles 90.00, 90.00, 90.00 degrees
Positions (direct):
Hg1 0.000 0.000 0.000
Se1 0.000 0.500 0.500
Se2 0.500 0.000 0.500
Br1 0.500 0.500 0.000